Below is a geometry-optimized AcFeO4 structure, with properties calculated at the PBE+U level.

Cell and atoms, written as POSCAR:
```
AcFeO4
1.0
-3.807 3.807 3.413
3.807 -3.807 3.413
3.807 3.807 -3.413
Ac Fe O
2 2 8
Direct
0.375 0.625 0.750
0.625 0.375 0.250
0.125 0.875 0.250
0.875 0.125 0.750
0.122 0.702 0.420
0.218 0.298 0.920
0.298 0.218 0.420
0.298 0.878 0.080
0.702 0.122 0.920
0.702 0.782 0.580
0.782 0.702 0.080
0.878 0.298 0.580
```

## Properties
Polymorph energy (0 for the lowest one) ... 0 meV per atom
Crystal system ... tetragonal
Mass density ... 5.821 g/cm³
Total moment ... 0.50 μB/atom
Symmetry ... No. 141
Uncorrected energy ... -6.79 eV per atom